No. 1
Crystalline HoSiHRh at its relaxed geometry, computed with GGA-PBE.

Structure (POSCAR):
```
HoSiHRh
1.0
-3.8103 -0.7818 0.9557
-0.8031 -0.7857 -3.8446
1.6831 -6.9070 1.0599
Si H Rh Ho
2 2 2 2
direct
0.0000 0.5000 0.8168
0.5000 0.0000 0.1832
0.0000 0.0000 0.5000
0.5000 0.5000 0.5000
0.0000 0.0000 0.0000
0.5000 0.5000 0.0000
0.5000 0.0000 0.6530
0.0000 0.5000 0.3470
```

- VASP energy: -48.89 eV per cell
- DOS at the Fermi energy: 0.34 states/eV per atom

***

No. 2
Crystalline Mn3AlI at its relaxed geometry, computed with GGA-PBE.

Structure (POSCAR):
```
Mn3AlI
1.0
-4.9560 -0.8371 -0.2398
0.3989 -3.4144 3.6745
-0.7740 3.6001 3.4293
Mn Al I
3 1 1
direct
0.0000 0.0000 0.5000
0.0000 0.5000 0.0000
0.5000 0.0000 0.0000
0.0000 0.0000 0.0000
0.5000 0.5000 0.5000
```

- VASP energy: -28.25 eV per cell
- DOS at the Fermi energy: 0.74 states/eV per atom
- Excess energy over the best structure of this formula in the dataset: 0.000 eV per atom

***

No. 3
Crystalline NaSi4 at its relaxed geometry, computed with GGA-PBE.

Structure (POSCAR):
```
NaSi4
1.0
-0.1861 4.3877 -2.1454
-3.4636 1.3951 3.1537
3.4435 1.6404 3.0562
Na Si
1 4
direct
0.5000 0.5000 0.5000
0.0000 0.5000 0.5000
0.5000 0.5000 0.0000
0.5000 0.0000 0.5000
0.0000 0.0000 0.0000
```

- VASP energy: -14.42 eV per cell
- DOS at the Fermi energy: 0.76 states/eV per atom

***

No. 4
Crystalline SiTc2W at its relaxed geometry, computed with GGA-PBE.

Structure (POSCAR):
```
SiTc2W
1.0
-4.9406 0.0921 1.1759
-2.8802 -3.6968 -1.9592
3.9728 1.1079 2.9648
Si W Tc
1 1 2
direct
0.2500 0.7500 0.5000
0.7500 0.2500 0.5000
0.4816 0.4816 0.0000
0.0184 0.0184 0.0000
```

- VASP energy: -39.68 eV per cell
- DOS at the Fermi energy: 0.72 states/eV per atom

***

No. 5
Crystalline Mg2TlSnRh at its relaxed geometry, computed with GGA-PBE.

Structure (POSCAR):
```
Mg2TlSnRh
1.0
5.0747 0.0000 0.0000
0.0000 5.0747 0.0000
0.0000 0.0000 5.0222
Tl Sn Mg Rh
1 1 2 1
direct
0.5000 0.5000 0.5000
0.0000 0.0000 0.5000
0.5000 0.0000 0.0000
0.0000 0.5000 0.0000
0.0000 0.0000 0.0000
```

- VASP energy: -17.93 eV per cell
- DFT formation energy: -0.205 eV per atom
- DOS at the Fermi energy: 0.31 states/eV per atom

***

No. 6
Crystalline Tb2HoEr3 at its relaxed geometry, computed with GGA-PBE.

Structure (POSCAR):
```
Tb2HoEr3
1.0
3.4683 0.0000 0.0000
1.7341 8.7769 0.1691
1.7341 2.0818 12.4650
Tb Ho Er
4 2 6
direct
0.1807 0.5215 0.1171
0.8193 0.4785 0.8829
0.6574 0.1542 0.5309
0.3426 0.8458 0.4691
0.5623 0.5189 0.3565
0.4377 0.4811 0.6435
0.2612 0.1854 0.2923
0.4012 0.1723 0.0253
0.5988 0.8277 0.9747
0.0391 0.1342 0.7877
0.7388 0.8146 0.7077
0.9609 0.8658 0.2123
```

- VASP energy: -53.61 eV per cell
- DFT formation energy: 0.120 eV per atom
- DOS at the Fermi energy: 1.59 states/eV per atom
- Excess energy over the best structure of this formula in the dataset: 0.099 eV per atom